1.
Material: KDyAsO4
Method: DFT, PBE
State: relaxed

Cell lengths 9.410, 9.410, 9.410 Å; angles 35.35, 35.35, 35.35 degrees
Atoms (fractional coordinates):
1 K 0.209 0.209 0.209
2 K 0.791 0.791 0.791
3 Dy 0.343 0.343 0.343
4 Dy 0.657 0.657 0.657
5 As 0.052 0.052 0.052
6 As 0.948 0.948 0.948
7 O 0.018 0.727 0.387
8 O 0.116 0.116 0.116
9 O 0.273 0.613 0.982
10 O 0.387 0.018 0.727
11 O 0.613 0.982 0.273
12 O 0.727 0.387 0.018
13 O 0.884 0.884 0.884
14 O 0.982 0.273 0.613

Properties
- raw total energy (eV per atom) = -6.41

=====

2.
Material: LaDyAs
Method: DFT, PBE
State: relaxed

Cell lengths 4.961, 4.961, 4.961 Å; angles 60.00, 60.00, 60.00 degrees
Atoms (fractional coordinates):
1 La 0.000 0.000 0.000
2 Dy 0.500 0.500 0.500
3 As 0.750 0.750 0.750

Properties
- raw total energy (eV per atom) = -5.52

=====

3.
Material: LaDyAsO
Method: DFT, PBE
State: relaxed

Cell lengths 4.375, 7.624, 6.233 Å; angles 90.00, 90.00, 90.00 degrees
Atoms (fractional coordinates):
1 La 0.000 0.206 0.000
2 La 0.000 0.794 0.500
3 Dy 0.500 0.392 0.582
4 Dy 0.500 0.608 0.082
5 As 0.000 0.182 0.492
6 As 0.000 0.818 0.992
7 O 0.500 0.342 0.934
8 O 0.500 0.658 0.434

Properties
- raw total energy (eV per atom) = -6.81

=====

4.
Material: LaDyAsO
Method: DFT, PBE
State: relaxed

Cell lengths 4.247, 4.247, 9.498 Å; angles 90.00, 90.00, 90.00 degrees
Atoms (fractional coordinates):
1 La 0.250 0.750 0.000
2 La 0.750 0.250 0.000
3 Dy 0.250 0.250 0.403
4 Dy 0.750 0.750 0.597
5 As 0.250 0.250 0.775
6 As 0.750 0.750 0.225
7 O 0.250 0.750 0.500
8 O 0.750 0.250 0.500

Properties
- raw total energy (eV per atom) = -6.61

=====

5.
Material: LaDyAsO
Method: DFT, PBE
State: relaxed

Cell lengths 4.190, 6.176, 7.361 Å; angles 90.00, 90.00, 90.00 degrees
Atoms (fractional coordinates):
1 La 0.000 0.080 0.000
2 La 0.000 0.920 0.500
3 Dy 0.500 0.370 0.339
4 Dy 0.500 0.630 0.839
5 As 0.500 0.189 0.704
6 As 0.500 0.811 0.204
7 O 0.000 0.256 0.298
8 O 0.000 0.744 0.798

Properties
- raw total energy (eV per atom) = -6.88

=====

6.
Material: LaDyAsO
Method: DFT, PBE
State: relaxed

Cell lengths 4.452, 4.452, 9.160 Å; angles 90.00, 90.00, 90.00 degrees
Atoms (fractional coordinates):
1 La 0.250 0.250 0.111
2 La 0.750 0.750 0.889
3 Dy 0.250 0.750 0.500
4 Dy 0.750 0.250 0.500
5 As 0.250 0.250 0.693
6 As 0.750 0.750 0.307
7 O 0.250 0.750 0.000
8 O 0.750 0.250 0.000

Properties
- raw total energy (eV per atom) = -6.79

=====

7.
Material: LiDyAs
Method: DFT, PBE
State: relaxed

Cell lengths 4.579, 4.579, 4.579 Å; angles 60.00, 60.00, 60.00 degrees
Atoms (fractional coordinates):
1 Li 0.000 0.000 0.000
2 Dy 0.500 0.500 0.500
3 As 0.750 0.750 0.750

Properties
- raw total energy (eV per atom) = -4.59

=====

8.
Material: LiDyAs
Method: DFT, PBE
State: relaxed

Cell lengths 4.681, 4.681, 4.681 Å; angles 60.00, 60.00, 60.00 degrees
Atoms (fractional coordinates):
1 Li 0.000 0.000 0.000
2 Dy 0.750 0.750 0.750
3 As 0.500 0.500 0.500

Properties
- raw total energy (eV per atom) = -4.13